# 1
A geometry-optimized Ag2RuBr6 structure, computed with PBE.

formation energy from raw total energies = -268 meV per atom
total magnetization = 2.07 μB/f.u.
final energy = -54.85 eV for the cell shown
Fermi-level density of states = 4.80 states/eV/f.u.

Cell: 7.1245 6.6939 10.8181 Å, 90.00 88.35 90.00°
Last column: nearest neighbours and their distance in Å.
Sites, in units of the cell vectors:
Ag 0.0068 0.4946 0.7949  4 Br 2.74-2.85
Ag 0.4932 0.9946 0.7051  4 Br 2.74-2.85
Ag 0.5068 0.0054 0.2949  4 Br 2.74-2.85
Ag 0.9932 0.5054 0.2051  4 Br 2.74-2.85
Ru 0.5000 0.5000 0.0000  6 Br 2.50-2.52
Ru 0.0000 0.0000 0.5000  6 Br 2.50-2.52
Br 0.8880 0.8741 0.2951  1 Ru 2.52, 1 Ag 2.75
Br 0.8473 0.7083 0.6056  1 Ru 2.50, 1 Ag 2.77
Br 0.8020 0.6908 0.9749  1 Ru 2.51, 1 Ag 2.74
Br 0.6980 0.1908 0.5251  1 Ru 2.51, 1 Ag 2.74
Br 0.6527 0.2083 0.8944  1 Ru 2.50, 1 Ag 2.77
Br 0.6120 0.3741 0.2049  1 Ru 2.52, 1 Ag 2.75
Br 0.1120 0.1259 0.7049  1 Ru 2.52, 1 Ag 2.75
Br 0.1527 0.2917 0.3944  1 Ru 2.50, 1 Ag 2.77
Br 0.1980 0.3092 0.0251  1 Ru 2.51, 1 Ag 2.74
Br 0.3020 0.8092 0.4749  1 Ru 2.51, 1 Ag 2.74
Br 0.3473 0.7917 0.1056  1 Ru 2.50, 1 Ag 2.77
Br 0.3880 0.6259 0.7951  1 Ru 2.52, 1 Ag 2.75

---

# 2
A geometry-optimized AgRuBr2 structure, computed with PBE.

formation energy from raw total energies = 307 meV per atom
total magnetization = 0.00 μB/f.u.
relative energy among the computed polymorphs = 125.8 meV/atom
final energy = -14.24 eV for the cell shown
Fermi-level density of states = 0.85 states/eV/f.u.

Cell: 9.3150 9.3150 9.3150 Å, 22.70 22.70 22.70°
Last column: nearest neighbours and their distance in Å.
Sites, in units of the cell vectors:
Ru 0.5000 0.5000 0.5000  6 Br 2.53
Br 0.8843 0.8843 0.8843  3 Ru 2.53
Br 0.1157 0.1157 0.1157  3 Ru 2.53
Ag 0.0000 0.0000 0.0000  2 Br 3.15

---

# 3
A geometry-optimized AgRuBr2 structure, computed with PBE.

formation energy from raw total energies = 492 meV per atom
total magnetization = 1.65 μB/f.u.
relative energy among the computed polymorphs = 310.2 meV/atom
final energy = -13.51 eV for the cell shown
Fermi-level density of states = 3.89 states/eV/f.u.

Cell: 3.5569 3.5569 8.9510 Å, 90.00 90.00 124.89°
Last column: nearest neighbours and their distance in Å.
Sites, in units of the cell vectors:
Ru 0.5000 0.5000 0.2500  4 Br 2.52
Br 0.0000 0.0000 0.0360  2 Ru 2.52
Br 0.0000 0.0000 0.4640  2 Ru 2.52
Ag 0.5000 0.5000 0.7500  4 Br 3.04, 2 Ag 3.29

---

# 4
A geometry-optimized AgRuBr2 structure, computed with PBE.

formation energy from raw total energies = 238 meV per atom
total magnetization = 0.26 μB/f.u.
relative energy among the computed polymorphs = 56.5 meV/atom
final energy = -14.52 eV for the cell shown
Fermi-level density of states = 3.53 states/eV/f.u.

Cell: 3.8206 3.8206 7.8766 Å, 76.14 76.14 60.01°
Last column: nearest neighbours and their distance in Å.
Sites, in units of the cell vectors:
Ru 0.5020 0.5020 0.4926  3 Br 2.43
Br 0.0250 0.0250 0.9287  3 Ag 2.71
Br 0.2128 0.2128 0.3584  3 Ru 2.43
Ag 0.7603 0.7603 0.7203  3 Br 2.71, 3 Ru 2.80

---

Please write out number 1 again, unchanged.
A geometry-optimized Ag2RuBr6 structure, computed with PBE.

formation energy from raw total energies = -268 meV per atom
total magnetization = 2.07 μB/f.u.
final energy = -54.85 eV for the cell shown
Fermi-level density of states = 4.80 states/eV/f.u.

Cell: 7.1245 6.6939 10.8181 Å, 90.00 88.35 90.00°
Last column: nearest neighbours and their distance in Å.
Sites, in units of the cell vectors:
Ag 0.0068 0.4946 0.7949  4 Br 2.74-2.85
Ag 0.4932 0.9946 0.7051  4 Br 2.74-2.85
Ag 0.5068 0.0054 0.2949  4 Br 2.74-2.85
Ag 0.9932 0.5054 0.2051  4 Br 2.74-2.85
Ru 0.5000 0.5000 0.0000  6 Br 2.50-2.52
Ru 0.0000 0.0000 0.5000  6 Br 2.50-2.52
Br 0.8880 0.8741 0.2951  1 Ru 2.52, 1 Ag 2.75
Br 0.8473 0.7083 0.6056  1 Ru 2.50, 1 Ag 2.77
Br 0.8020 0.6908 0.9749  1 Ru 2.51, 1 Ag 2.74
Br 0.6980 0.1908 0.5251  1 Ru 2.51, 1 Ag 2.74
Br 0.6527 0.2083 0.8944  1 Ru 2.50, 1 Ag 2.77
Br 0.6120 0.3741 0.2049  1 Ru 2.52, 1 Ag 2.75
Br 0.1120 0.1259 0.7049  1 Ru 2.52, 1 Ag 2.75
Br 0.1527 0.2917 0.3944  1 Ru 2.50, 1 Ag 2.77
Br 0.1980 0.3092 0.0251  1 Ru 2.51, 1 Ag 2.74
Br 0.3020 0.8092 0.4749  1 Ru 2.51, 1 Ag 2.74
Br 0.3473 0.7917 0.1056  1 Ru 2.50, 1 Ag 2.77
Br 0.3880 0.6259 0.7951  1 Ru 2.52, 1 Ag 2.75